Entry from Alexandria via LeMat-Bulk: a geometry-optimized Co2OF3 structure (PBE+U).

Results
The density of states at the Fermi level is 0.062 states/eV per atom. As for the crystal system: monoclinic. The value obtained for the calculated total energy is -5.138 eV/atom.

Cell and atoms, written as CIF:
```
data_Co2OF3
_symmetry_space_group_name_H-M 'C 1 2/m 1'
_symmetry_Int_Tables_number 12
_cell_length_a 9.420
_cell_length_b 6.063
_cell_length_c 10.350
_cell_angle_alpha 90.00
_cell_angle_beta 114.57
_cell_angle_gamma 90.00
loop_
_symmetry_equiv_pos_as_xyz
'x,y,z'
'-x,-y,-z'
'-x,y,-z'
'x,-y,z'
'x+1/2,y+1/2,z'
'-x+1/2,-y+1/2,-z'
'-x+1/2,y+1/2,-z'
'x+1/2,-y+1/2,z'
loop_
_atom_site_label
_atom_site_type_symbol
_atom_site_fract_x
_atom_site_fract_y
_atom_site_fract_z
Co1 Co 0.000 0.000 0.000
Co2 Co 0.000 0.500 0.000
Co3 Co 0.124 0.247 0.748
Co4 Co 0.240 0.500 0.517
O1 O 0.082 0.000 0.836
O2 O 0.166 0.500 0.663
F1 F 0.074 0.500 0.850
F2 F 0.099 0.248 0.400
F3 F 0.151 0.247 0.101
F4 F 0.181 0.000 0.643
```

Entry from Alexandria via LeMat-Bulk: a geometry-optimized Co2O3F structure (PBE+U).

Results
The density of states at the Fermi level is 0.344 states/eV per atom. As for the crystal system: monoclinic. The value obtained for the calculated total energy is -5.451 eV/atom.

Cell and atoms, written as CIF:
```
data_Co2O3F
_symmetry_space_group_name_H-M 'C 1 2/m 1'
_symmetry_Int_Tables_number 12
_cell_length_a 8.576
_cell_length_b 6.261
_cell_length_c 8.593
_cell_angle_alpha 90.00
_cell_angle_beta 92.24
_cell_angle_gamma 90.00
loop_
_symmetry_equiv_pos_as_xyz
'x,y,z'
'-x,-y,-z'
'-x,y,-z'
'x,-y,z'
'x+1/2,y+1/2,z'
'-x+1/2,-y+1/2,-z'
'-x+1/2,y+1/2,-z'
'x+1/2,-y+1/2,z'
loop_
_atom_site_label
_atom_site_type_symbol
_atom_site_fract_x
_atom_site_fract_y
_atom_site_fract_z
Co1 Co 0.000 0.000 0.000
Co2 Co 0.000 0.500 0.500
Co3 Co 0.107 0.000 0.634
Co4 Co 0.138 0.500 0.138
Co5 Co 0.240 0.500 0.760
O1 O 0.000 0.194 0.500
O2 O 0.019 0.500 0.720
O3 O 0.037 0.000 0.219
O4 O 0.222 0.000 0.016
O5 O 0.238 0.191 0.747
F1 F 0.000 0.315 0.000
F2 F 0.233 0.500 0.524
```

Entry from Alexandria via LeMat-Bulk: a geometry-optimized Co2O3F structure (PBE+U).

Results
The density of states at the Fermi level is 0.265 states/eV per atom. As for the crystal system: monoclinic. The value obtained for the calculated total energy is -5.453 eV/atom.

Cell and atoms, written as CIF:
```
data_Co2O3F
_symmetry_space_group_name_H-M 'C 1 2/m 1'
_symmetry_Int_Tables_number 12
_cell_length_a 17.533
_cell_length_b 5.947
_cell_length_c 4.387
_cell_angle_alpha 90.00
_cell_angle_beta 92.59
_cell_angle_gamma 90.00
loop_
_symmetry_equiv_pos_as_xyz
'x,y,z'
'-x,-y,-z'
'-x,y,-z'
'x,-y,z'
'x+1/2,y+1/2,z'
'-x+1/2,-y+1/2,-z'
'-x+1/2,y+1/2,-z'
'x+1/2,-y+1/2,z'
loop_
_atom_site_label
_atom_site_type_symbol
_atom_site_fract_x
_atom_site_fract_y
_atom_site_fract_z
Co1 Co 0.000 0.244 0.000
Co2 Co 0.119 0.000 0.524
Co3 Co 0.132 0.500 0.474
Co4 Co 0.250 0.250 0.000
O1 O 0.048 0.000 0.807
O2 O 0.075 0.251 0.308
O3 O 0.173 0.251 0.696
O4 O 0.202 0.500 0.193
F1 F 0.051 0.500 0.801
F2 F 0.195 0.000 0.217
```

Entry from Alexandria via LeMat-Bulk: a geometry-optimized Co6O5F7 structure (PBE+U).

Results
The density of states at the Fermi level is 0.010 states/eV per atom. As for the crystal system: monoclinic. The value obtained for the calculated total energy is -5.227 eV/atom.

Cell and atoms, written as CIF:
```
data_Co6O5F7
_symmetry_space_group_name_H-M 'C 1 m 1'
_symmetry_Int_Tables_number 8
_cell_length_a 9.023
_cell_length_b 6.562
_cell_length_c 7.194
_cell_angle_alpha 90.00
_cell_angle_beta 112.48
_cell_angle_gamma 90.00
loop_
_symmetry_equiv_pos_as_xyz
'x,y,z'
'x,-y,z'
'x+1/2,y+1/2,z'
'x+1/2,-y+1/2,z'
loop_
_atom_site_label
_atom_site_type_symbol
_atom_site_fract_x
_atom_site_fract_y
_atom_site_fract_z
Co1 Co 0.000 0.000 0.000
Co2 Co 0.003 0.000 0.490
Co3 Co 0.135 0.500 0.150
Co4 Co 0.184 0.500 0.638
Co5 Co 0.328 0.000 0.324
Co6 Co 0.356 0.000 0.842
O1 O 0.002 0.281 0.999
O2 O 0.049 0.500 0.361
O3 O 0.106 0.000 0.283
O4 O 0.406 0.500 0.710
F1 F 0.176 0.199 0.666
F2 F 0.243 0.000 0.033
F3 F 0.255 0.500 0.956
F4 F 0.321 0.307 0.324
F5 F 0.434 0.000 0.619
```